A crystal of NaCrSe2 relaxed with PBEsol, computed with SCAN.

Summary:
Formation energy from raw total energies ... -1.13 eV/atom
Total moment ... 9.00 μB per cell
Crystal system ... trigonal

Unit cell a=3.7182 b=3.7182 c=20.2252 alpha=90.00 beta=90.00 gamma=120.00
Space group R-3m (No. 166, hexagonal axes)
Inequivalent atoms, fractional coordinates:
1 Na 0.0000 0.0000 0.0000 x3
2 Cr 0.0000 0.0000 0.5000 x3
3 Se 0.0000 0.0000 0.2328 x6